NaAcBi2Pd5 | PBE | relaxed

Cell: 4.321 4.321 11.281 Å, 90.00 90.00 90.00°
Space group P4/mmm (No. 123)
One atom of each set of equivalent atoms:
Na 0.000 0.000 0.000 x1
Ac 0.000 0.000 0.500 x1
Bi 0.500 0.500 0.157 x2
Pd 0.000 0.500 0.308 x4
Pd 0.500 0.500 0.500 x1

Calculated values
Formation energy in eV per atom: -0.47